Computed, not measured: a relaxed structure of Na2Ga3HgAu4 at the PBE level of DFT.

Calculated values
ΔE_f (eV/f.u.): -2.6
Uncorrected energy (eV/f.u.): -27.7
Calculated volume (Å³/f.u.): 223.0

abc: 4.4867 4.4867 11.0758
angles: 90.00 90.00 90.00
Space group P-4m2 (No. 115)
Symmetry-distinct sites (fractional):
1 Na 0.0000 0.5000 0.2402 [2 per cell]
2 Ga 0.0000 0.5000 0.8788 [2 per cell]
3 Ga 0.5000 0.5000 0.5000 [1 per cell]
4 Hg 0.0000 0.0000 0.5000 [1 per cell]
5 Au 0.0000 0.0000 0.0000 [1 per cell]
6 Au 0.0000 0.5000 0.6528 [2 per cell]
7 Au 0.5000 0.5000 0.0000 [1 per cell]



Computed, not measured: a relaxed structure of Na2AgHPt at the PBE level of DFT.

Calculated values
Uncorrected energy (eV/f.u.): -15.4
Calculated volume (Å³/f.u.): 83.1

abc: 4.7968 4.7968 3.6131
angles: 90.00 90.00 90.00
Space group P4/mmm (No. 123)
Symmetry-distinct sites (fractional):
1 Na 0.0000 0.5000 0.0000 [2 per cell]
2 Ag 0.0000 0.0000 0.5000 [1 per cell]
3 H 0.5000 0.5000 0.0000 [1 per cell]
4 Pt 0.5000 0.5000 0.5000 [1 per cell]



Computed, not measured: a relaxed structure of PrZn6Ag2 at the PBE level of DFT.

Calculated values
ΔE_f (eV/f.u.): -0.9
Uncorrected energy (eV/f.u.): -19.1
Calculated volume (Å³/f.u.): 171.1

abc: 4.1004 6.7699 12.3255
angles: 90.00 90.00 90.00
Space group Immm (No. 71)
Symmetry-distinct sites (fractional):
1 Pr 0.0000 0.0000 0.0000 [2 per cell]
2 Zn 0.0000 0.1785 0.5000 [4 per cell]
3 Zn 0.0000 0.2984 0.3093 [8 per cell]
4 Ag 0.0000 0.5000 0.1207 [4 per cell]



Computed, not measured: a relaxed structure of Tb2Dy6YEr3 at the PBE level of DFT.

Calculated values
ΔE_f (eV/f.u.): 0.2
Uncorrected energy (eV/f.u.): -56.8
Calculated volume (Å³/f.u.): 375.5

abc: 6.1313 10.6072 11.7244
angles: 90.00 99.98 90.00
Space group C2/m (No. 12)
Symmetry-distinct sites (fractional):
1 Tb 0.0000 0.1667 0.0000 [4 per cell]
2 Dy 0.2490 0.1670 0.7484 [8 per cell]
3 Dy 0.2502 0.0000 0.2517 [4 per cell]
4 Y 0.0000 0.5000 0.0000 [2 per cell]
5 Er 0.0000 0.0000 0.5000 [2 per cell]
6 Er 0.0000 0.3333 0.5000 [4 per cell]